[1]
DFT (PBE) results for crystalline PmPaSnAu at its relaxed geometry.

abc: 5.305 5.305 5.305
angles: 60.00 60.00 60.00
Last column: magnetic moment on the atom in μB.
Fractional positions:
Au (0.750, 0.750, 0.750)  0.07
Sn (0.250, 0.250, 0.250)  -0.02
Pm (0.500, 0.500, 0.500)  0.39
Pa (0.000, 0.000, 0.000)  1.46

E_form (eV/f.u.): -1.28
Total moment (Bohr magnetons per cell): 2.70

[2]
DFT (PBE) results for crystalline Ce3DyY2N6 at its relaxed geometry.

abc: 6.101 6.101 6.105
angles: 99.59 99.59 120.00
Last column: magnetic moment on the atom in μB.
Fractional positions:
Y (0.333, 0.667, 0.000)  0.01
Y (0.667, 0.333, 0.000)  0.01
N (0.750, 0.750, 0.249)  -0.01
N (0.083, 0.416, 0.249)  -0.01
N (0.250, 0.250, 0.751)  -0.01
N (0.584, 0.917, 0.751)  -0.01
N (0.917, 0.584, 0.751)  -0.01
N (0.416, 0.083, 0.249)  -0.01
Ce (0.833, 0.167, 0.500)  0.24
Ce (0.167, 0.833, 0.500)  0.24
Ce (0.500, 0.500, 0.500)  0.24
Dy (0.000, 0.000, 0.000)  0.01

Total energy (eV/atom): -8.699
Total moment (Bohr magnetons per cell): 0.83

[3]
DFT (PBE) results for crystalline PmGa2Cu3 at its relaxed geometry.

abc: 4.180 4.180 13.495
angles: 90.00 90.00 120.00
Fractional positions:
Ga (0.667, 0.333, 0.108)
Ga (0.333, 0.667, 0.608)
Ga (0.667, 0.333, 0.392)
Ga (0.333, 0.667, 0.892)
Pm (0.000, 0.000, 0.750)
Pm (0.000, 0.000, 0.250)
Cu (0.333, 0.667, 0.421)
Cu (0.000, 0.000, 0.000)
Cu (0.333, 0.667, 0.079)
Cu (0.000, 0.000, 0.500)
Cu (0.667, 0.333, 0.921)
Cu (0.667, 0.333, 0.579)

E_form (eV/f.u.): -1.99
ΔE to the lowest computed polymorph (kJ/mol of atoms): 0.0
Total moment (Bohr magnetons per cell): 0.00

[4]
DFT (PBE) results for crystalline Ni3HgH at its relaxed geometry.

abc: 4.802 4.802 4.802
angles: 90.00 90.00 90.00
Last column: magnetic moment on the atom in μB.
Fractional positions:
Ni (0.500, 0.000, 0.000)  0.24
Ni (0.000, 0.500, 0.000)  0.41
Ni (0.000, 0.000, 0.500)  0.47
H (0.500, 0.500, 0.500)  -0.01
Hg (0.000, 0.000, 0.000)  -0.03

ΔE to the lowest computed polymorph (kJ/mol of atoms): 173.1
Total moment (Bohr magnetons per cell): 0.99

[5]
DFT (PBE) results for crystalline Pr2As4Au at its relaxed geometry.

abc: 4.113 4.113 9.966
angles: 90.00 90.00 90.00
Fractional positions:
As (0.500, 0.500, 0.500)
As (0.000, 0.500, 0.842)
As (0.000, 0.000, 0.500)
As (0.500, 0.000, 0.158)
Au (0.500, 0.500, 0.000)
Pr (0.500, 0.000, 0.742)
Pr (0.000, 0.500, 0.258)

E_form (eV/f.u.): -5.65
Total moment (Bohr magnetons per cell): 0.00

[6]
DFT (PBE) results for crystalline Hg3PBr at its relaxed geometry.

abc: 10.680 10.680 10.680
angles: 107.76 107.76 107.76
Fractional positions:
Hg (0.070, 0.372, 0.615)
Hg (0.372, 0.615, 0.070)
Hg (0.399, 0.744, 0.750)
Hg (0.744, 0.750, 0.399)
Hg (0.812, 0.069, 0.697)
Hg (0.697, 0.812, 0.069)
Hg (0.069, 0.697, 0.812)
Hg (0.188, 0.931, 0.303)
Hg (0.930, 0.628, 0.385)
Hg (0.750, 0.399, 0.744)
Hg (0.256, 0.250, 0.601)
Hg (0.385, 0.930, 0.628)
Hg (0.303, 0.188, 0.931)
Hg (0.931, 0.303, 0.188)
Hg (0.615, 0.070, 0.372)
Hg (0.250, 0.601, 0.256)
Hg (0.628, 0.385, 0.930)
Hg (0.601, 0.256, 0.250)
P (0.599, 0.882, 0.472)
P (0.528, 0.401, 0.118)
P (0.472, 0.599, 0.882)
P (0.882, 0.472, 0.599)
P (0.401, 0.118, 0.528)
P (0.118, 0.528, 0.401)
Br (0.919, 0.037, 0.295)
Br (0.295, 0.919, 0.037)
Br (0.037, 0.295, 0.919)
Br (0.963, 0.705, 0.081)
Br (0.081, 0.963, 0.705)
Br (0.705, 0.081, 0.963)

ΔE to the lowest computed polymorph (kJ/mol of atoms): 0.2
Total moment (Bohr magnetons per cell): 0.00

[7]
DFT (PBE) results for crystalline MnBe2Cr at its relaxed geometry.

abc: 2.471 2.471 6.364
angles: 90.00 90.00 90.00
Last column: magnetic moment on the atom in μB.
Fractional positions:
Cr (0.000, 0.000, 0.477)  0.11
Be (0.500, 0.500, 0.219)  0.00
Be (0.000, 0.000, 0.022)  -0.04
Mn (0.500, 0.500, 0.782)  1.82

E_form (eV/f.u.): 0.13
ΔE to the lowest computed polymorph (kJ/mol of atoms): 10.3
Total moment (Bohr magnetons per cell): 1.97

[8]
DFT (PBE) results for crystalline NdErTmLu at its relaxed geometry.

abc: 5.631 5.631 5.631
angles: 60.00 60.00 60.00
Fractional positions:
Tm (0.000, 0.000, 0.000)
Nd (0.250, 0.250, 0.250)
Lu (0.500, 0.500, 0.500)
Er (0.750, 0.750, 0.750)

E_form (eV/f.u.): 0.44
Total moment (Bohr magnetons per cell): 0.00